VASP calculation (PBE) on crystalline K2FeAu at its relaxed geometry.

Summary:
ΔE to the lowest computed polymorph ... 369 meV/atom
Uncorrected energy ... -22.68 eV per cell

abc: 5.271 5.271 9.022
angles: 90.00 90.00 90.00
Space group I4/mmm (No. 139)
One atom of each set of equivalent atoms:
K  0.000  0.500  0.250 [4 per cell]
Fe  0.000  0.000  0.000 [2 per cell]
Au  0.000  0.000  0.500 [2 per cell]

VASP calculation (PBE) on crystalline KFeAu2 at its relaxed geometry.

Summary:
Uncorrected energy ... -14.50 eV per cell

abc: 3.002 3.002 9.313
angles: 90.00 90.00 90.00
Space group P4mm (No. 99)
One atom of each set of equivalent atoms:
K  0.000  0.000  0.000 [1 per cell]
Fe  0.500  0.500  0.686 [1 per cell]
Au  0.000  0.000  0.508 [1 per cell]
Au  0.500  0.500  0.280 [1 per cell]

VASP calculation (PBE) on crystalline KFeAu2 at its relaxed geometry.

Summary:
Uncorrected energy ... -29.20 eV per cell

abc: 2.875 5.650 10.830
angles: 90.00 90.00 90.00
Space group Immm (No. 71)
One atom of each set of equivalent atoms:
K  0.000  0.000  0.000 [2 per cell]
Fe  0.000  0.000  0.500 [2 per cell]
Au  0.000  0.500  0.201 [4 per cell]

VASP calculation (PBE) on crystalline KFeAu at its relaxed geometry.

Summary:
ΔE to the lowest computed polymorph ... 73 meV/atom
Uncorrected energy ... -11.48 eV per cell

abc: 4.3406 4.3406 5.1173
angles: 90.00 90.00 120.00
Space group P-6m2 (No. 187)
One atom of each set of equivalent atoms:
K  0.0000  0.0000  0.0000 [1 per cell]
Fe  0.3333  0.6667  0.5000 [1 per cell]
Au  0.6667  0.3333  0.5000 [1 per cell]

VASP calculation (PBE) on crystalline K2FeAu at its relaxed geometry.

Summary:
ΔE to the lowest computed polymorph ... 0 meV/atom
Uncorrected energy ... -25.63 eV per cell

abc: 7.670 4.418 9.269
angles: 90.00 105.54 90.00
Space group Cm (No. 8)
One atom of each set of equivalent atoms:
K  0.000  0.000  0.000 [2 per cell]
K  0.172  0.000  0.532 [2 per cell]
Fe  0.253  0.500  0.266 [2 per cell]
Au  0.420  0.000  0.266 [2 per cell]

VASP calculation (PBE) on crystalline KFe3Au at its relaxed geometry.

Summary:
ΔE to the lowest computed polymorph ... 1147 meV/atom
Uncorrected energy ... -18.37 eV per cell

abc: 4.429 4.429 4.429
angles: 90.00 90.00 90.00
Space group Pm-3m (No. 221)
One atom of each set of equivalent atoms:
K  0.000  0.000  0.000 [1 per cell]
Fe  0.000  0.000  0.500 [3 per cell]
Au  0.500  0.500  0.500 [1 per cell]

VASP calculation (PBE) on crystalline K2FeAu at its relaxed geometry.

Summary:
ΔE to the lowest computed polymorph ... 369 meV/atom
Uncorrected energy ... -45.36 eV per cell

abc: 8.041 8.041 8.041
angles: 90.00 90.00 90.00
Space group Fm-3m (No. 225)
One atom of each set of equivalent atoms:
K  0.250  0.250  0.250 [8 per cell]
Fe  0.000  0.000  0.000 [4 per cell]
Au  0.000  0.000  0.500 [4 per cell]

VASP calculation (PBE) on crystalline KFeAu at its relaxed geometry.

Summary:
ΔE to the lowest computed polymorph ... 903 meV/atom
Uncorrected energy ... -35.96 eV per cell

abc: 7.281 7.281 7.281
angles: 90.00 90.00 90.00
Space group F-43m (No. 216)
One atom of each set of equivalent atoms:
K  0.000  0.000  0.000 [4 per cell]
Fe  0.250  0.250  0.250 [4 per cell]
Au  0.250  0.250  0.750 [4 per cell]